(1)
A geometry-optimized ScCdSeBr2 structure, computed with GGA-PBE.

- Crystal system: tetragonal
- E: -3.052 eV/atom
- Density of states at the Fermi level: 5.894 states/eV/cell
- Energy relative to the lowest polymorph listed for this composition: 0.6669 eV/atom

Structure (POSCAR):
```
ScCdSeBr2
1.0
5.3016 0.0000 0.0000
0.0000 5.3016 0.0000
0.0000 0.0000 5.4297
Sc Se Br Cd
1 1 2 1
Direct
0.5000 0.5000 0.5000
0.0000 0.0000 0.5000
0.0000 0.5000 0.0000
0.5000 0.0000 0.0000
0.0000 0.0000 0.0000
```

=====

(2)
A geometry-optimized Pm4Nd2Al structure, computed with GGA-PBE.

- Crystal system: trigonal
- E: -4.623 eV/atom
- Density of states at the Fermi level: 10.200 states/eV/cell
- ΔE_f: -1.1 kJ/mol of atoms

Structure (POSCAR):
```
Pm4Nd2Al
1.0
3.6861 0.0000 0.0000
1.8430 3.1922 0.0000
1.8430 1.0641 19.6923
Pm Nd Al
4 2 1
Direct
0.7053 0.7053 0.8842
0.9094 0.9094 0.2717
0.2947 0.2947 0.1158
0.0906 0.0906 0.7283
0.8075 0.8075 0.5774
0.1925 0.1925 0.4226
0.0000 0.0000 0.0000
```

=====

(3)
A geometry-optimized CdRuRh2 structure, computed with GGA-PBE.

- Crystal system: monoclinic
- E: -5.998 eV/atom
- Density of states at the Fermi level: 5.361 states/eV/cell
- ΔE_f: 21.7 kJ/mol of atoms

Structure (POSCAR):
```
CdRuRh2
1.0
2.7595 0.0000 0.0000
0.0000 4.9423 0.0064
0.0000 3.1189 4.5161
Cd Rh Ru
1 2 1
Direct
0.0000 0.0000 0.5000
0.0000 0.0000 0.0000
0.5000 0.5000 0.0000
0.5000 0.5000 0.5000
```

=====

(4)
A geometry-optimized Cr2CoP structure, computed with GGA-PBE.

- Crystal system: cubic
- E: -8.082 eV/atom
- Density of states at the Fermi level: 2.880 states/eV/cell
- ΔE_f: -13.7 kJ/mol of atoms

Structure (POSCAR):
```
Cr2CoP
1.0
3.9746 0.0000 0.0000
1.9873 3.4421 0.0000
1.9873 1.1474 3.2453
Co Cr P
1 2 1
Direct
0.5000 0.5000 0.5000
0.0000 0.0000 0.0000
0.2500 0.2500 0.2500
0.7500 0.7500 0.7500
```

=====

(5)
A geometry-optimized InSb2P structure, computed with GGA-PBE.

- Crystal system: orthorhombic
- E: -3.787 eV/atom
- Density of states at the Fermi level: 1.785 states/eV/cell
- Energy relative to the lowest polymorph listed for this composition: 0.2196 eV/atom

Structure (POSCAR):
```
InSb2P
1.0
3.3134 0.0281 0.0000
-0.9323 3.1796 0.0000
0.0000 0.0000 9.4873
In P Sb
1 1 2
Direct
0.0000 0.0000 0.5289
0.5000 0.5000 0.7644
0.0000 0.0000 0.9542
0.5000 0.5000 0.2524
```

=====

(6)
A geometry-optimized AlInBi structure, computed with GGA-PBE.

- Crystal system: cubic
- E: -3.302 eV/atom
- Density of states at the Fermi level: 1.564 states/eV/cell
- Energy relative to the lowest polymorph listed for this composition: 0.0414 eV/atom
- ΔE_f: 14.7 kJ/mol of atoms

Structure (POSCAR):
```
AlInBi
1.0
4.9916 0.0000 0.0000
2.4958 4.3229 0.0000
2.4958 1.4410 4.0757
Al Bi In
1 1 1
Direct
0.2500 0.2500 0.2500
0.0000 0.0000 0.0000
0.5000 0.5000 0.5000
```

=====

(7)
A geometry-optimized SiTcOF2 structure, computed with GGA-PBE.

- Crystal system: tetragonal
- E: -5.616 eV/atom
- Density of states at the Fermi level: 1.638 states/eV/cell
- Energy relative to the lowest polymorph listed for this composition: 0.0000 eV/atom

Structure (POSCAR):
```
SiTcOF2
1.0
4.4144 0.0000 0.0000
0.0000 4.4144 0.0000
0.0000 0.0000 3.3933
Si Tc O F
1 1 1 2
Direct
0.0000 0.0000 0.0000
0.5000 0.5000 0.5000
0.0000 0.0000 0.5000
0.0000 0.5000 0.0000
0.5000 0.0000 0.0000
```

=====

(8)
A geometry-optimized SmErPdRu structure, computed with GGA-PBE.

- Crystal system: tetragonal
- E: -6.571 eV/atom
- Density of states at the Fermi level: 2.282 states/eV/cell
- Energy relative to the lowest polymorph listed for this composition: 0.0000 eV/atom
- ΔE_f: -61.1 kJ/mol of atoms

Structure (POSCAR):
```
SmErPdRu
1.0
-0.4154 2.8431 -1.9129
-2.3034 1.1950 2.2762
5.1792 3.1650 3.5794
Sm Er Pd Ru
1 1 1 1
Direct
0.5000 0.5000 0.1195
0.5000 0.5000 0.5985
0.0000 0.0000 0.8427
0.0000 0.0000 0.3672
```